(1)
DFT (PBE) results for crystalline LaCrBi3 at its relaxed geometry.

Its space group is Pm-3m. The energy of formation from the pure elements comes out at 0.169 eV per atom.

abc: 5.291 5.291 5.291
angles: 90.00 90.00 90.00
Element x y z (fractional)
Cr (0.000, 0.000, 0.000)
Bi (0.000, 0.500, 0.000)
Bi (0.000, 0.000, 0.500)
Bi (0.500, 0.000, 0.000)
La (0.500, 0.500, 0.500)



(2)
DFT (PBE) results for crystalline LaZrIr2 at its relaxed geometry.

Its space group is I-4m2. The energy of formation from the pure elements comes out at -0.359 eV per atom.

abc: 5.733 5.733 5.733
angles: 138.63 138.63 59.94
Element x y z (fractional)
Ir (0.000, 0.000, 0.000)
Ir (0.250, 0.750, 0.500)
La (0.500, 0.500, 0.000)
Zr (0.750, 0.250, 0.500)



| no. | DOS at the Fermi energy (states/eV/f.u.) |
| --- | --- |
| 1 | 6.899 |
| 2 | 2.819 |